Entry 1
DFT (PBE-GGA) results for a geometry-optimized KPmSO structure.

Results
**ρ**: 4.55 g/cm3

Unit cell a=4.132 b=4.132 c=9.920 alpha=90.00 beta=90.00 gamma=90.00
Space group P4/nmm (No. 129, origin choice 2)
Symmetry-distinct sites (fractional):
K (0.250, 0.750, 0.000) [2 per cell]
Pm (0.250, 0.250, 0.389) [2 per cell]
S (0.250, 0.250, 0.780) [2 per cell]
O (0.250, 0.750, 0.500) [2 per cell]

Entry 2
DFT (PBE-GGA) results for a geometry-optimized KPmSO structure.

Results
**ρ**: 3.66 g/cm3

Unit cell a=7.886 b=9.380 c=5.695 alpha=90.00 beta=90.00 gamma=90.00
Space group Pca2_1 (No. 29)
Symmetry-distinct sites (fractional):
K (0.113, 0.089, 0.000) [4 per cell]
Pm (0.054, 0.652, 0.006) [4 per cell]
S (0.092, 0.624, 0.507) [4 per cell]
O (0.058, 0.151, 0.508) [4 per cell]

It turns out entry 1 is the most stable, with the second structure 13 meV per atom higher.